A relaxed ScPb2Cl crystal, computed with PBE-GGA.

Unit cell a=5.3452 b=5.3452 c=5.3452 alpha=60.00 beta=60.00 gamma=60.00
Fractional positions:
1 Cl 0.0000 0.0000 0.0000
2 Pb 0.2500 0.2500 0.2500
3 Pb 0.7500 0.7500 0.7500
4 Sc 0.5000 0.5000 0.5000

Summary:
- space-group type = Fm-3m, No. 225
- calculated volume (A^3/atom) = 27.0
- raw formation energy (eV per formula unit) = -0.22
- energy above the most stable polymorph in this dataset (eV/f.u.) = 2.485
- E (eV per cell) = -15.81

=====

A relaxed Sc2PbCl crystal, computed with PBE-GGA.

Unit cell a=3.6248 b=3.6248 c=7.1703 alpha=90.00 beta=90.00 gamma=90.00
Fractional positions:
1 Sc 0.0000 0.0000 0.0236
2 Sc 0.5000 0.5000 0.2888
3 Pb 0.5000 0.5000 0.7922
4 Cl 0.0000 0.0000 0.3953

Summary:
- space-group type = P4mm, No. 99
- calculated volume (A^3/atom) = 23.6
- raw formation energy (eV per formula unit) = -2.74
- energy above the most stable polymorph in this dataset (eV/f.u.) = 0.446
- E (eV per cell) = -20.96

=====

A relaxed ScPbCl2 crystal, computed with PBE-GGA.

Unit cell a=5.0626 b=5.0626 c=5.0626 alpha=60.00 beta=60.00 gamma=60.00
Fractional positions:
1 Cl 0.2500 0.2500 0.2500
2 Cl 0.7500 0.7500 0.7500
3 Sc 0.0000 0.0000 0.0000
4 Pb 0.5000 0.5000 0.5000

Summary:
- space-group type = Fm-3m, No. 225
- calculated volume (A^3/atom) = 22.9
- raw formation energy (eV per formula unit) = -2.14
- energy above the most stable polymorph in this dataset (eV/f.u.) = 2.967
- E (eV per cell) = -15.87

=====

What is the energy above the most stable polymorph in this dataset in the first record? 2.485 eV/f.u.

=====

What did the second record say?
A relaxed Sc2PbCl crystal, computed with PBE-GGA.

Unit cell a=3.6248 b=3.6248 c=7.1703 alpha=90.00 beta=90.00 gamma=90.00
Fractional positions:
1 Sc 0.0000 0.0000 0.0236
2 Sc 0.5000 0.5000 0.2888
3 Pb 0.5000 0.5000 0.7922
4 Cl 0.0000 0.0000 0.3953

Summary:
- space-group type = P4mm, No. 99
- calculated volume (A^3/atom) = 23.6
- raw formation energy (eV per formula unit) = -2.74
- energy above the most stable polymorph in this dataset (eV/f.u.) = 0.446
- E (eV per cell) = -20.96

=====

E of number 2 (Sc2PbCl)? -20.96 eV per cell